(1)
Ga3FeRu4, optimized geometry, DFT PBE-GGA; DFT formation energy = -0.20 eV/atom; N(E_F) = 8.780 states/eV/f.u.; space group = P4/mmm
1.0
3.0204 0.0000 0.0000
0.0000 3.0204 0.0000
0.0000 0.0000 12.0270
Ga Fe Ru
3 1 4
direct
0.0000 0.0000 0.0000
0.0000 0.0000 0.2516
0.0000 0.0000 0.7484
0.0000 0.0000 0.5000
0.5000 0.5000 0.1265
0.5000 0.5000 0.3795
0.5000 0.5000 0.6205
0.5000 0.5000 0.8735

---

(2)
GaFeRu3, optimized geometry, DFT PBE-GGA; DFT formation energy = 1.23 eV/atom; N(E_F) = 10.939 states/eV/f.u.; space group = Pm-3m
1.0
4.4152 0.0000 0.0000
0.0000 4.4152 0.0000
0.0000 0.0000 4.4152
Ga Fe Ru
1 1 3
direct
0.0000 0.0000 0.0000
0.5000 0.5000 0.5000
0.0000 0.5000 0.5000
0.5000 0.0000 0.5000
0.5000 0.5000 0.0000

---

(3)
Ga6FeRu5, optimized geometry, DFT PBE-GGA; DFT formation energy = -0.28 eV/atom; N(E_F) = 7.643 states/eV/f.u.; space group = Immm
1.0
-2.1252 3.0484 6.4107
2.1252 -3.0484 6.4107
2.1252 3.0484 -6.4107
Ga Fe Ru
6 1 5
direct
0.0747 0.3303 0.7444
0.2368 0.0000 0.2368
0.4141 0.6697 0.7444
0.5859 0.3303 0.2556
0.7632 0.0000 0.7632
0.9253 0.6697 0.2556
0.5000 0.5000 0.0000
0.0000 0.5000 0.5000
0.1699 0.1699 0.0000
0.3463 0.8463 0.5000
0.6537 0.1537 0.5000
0.8301 0.8301 0.0000